1.
Compound: HfZr3F
Source: Alexandria
Functional: PBEsol
Structure: relaxed

E_tot = -34.339 eV for the cell shown
Crystal system = cubic
Calculated volume = 136 Å³/f.u.
Total moment = 0.000 μB/atom
Energy relative to the elements, uncorrected = 1.072 eV per atom

abc: 5.1389 5.1389 5.1389
angles: 90.00 90.00 90.00
Last column: nearest neighbours and their distance in Å.
Atoms (fractional coordinates):
Zr (0.0000, 0.5000, 0.0000)  2 Hf 2.57
Zr (0.0000, 0.0000, 0.5000)  2 Hf 2.57
Zr (0.5000, 0.0000, 0.0000)  2 Hf 2.57
Hf (0.0000, 0.0000, 0.0000)  6 Zr 2.57
F (0.5000, 0.5000, 0.5000)  12 Zr 3.63

=====

2.
Compound: HfZrF3
Source: Alexandria
Functional: PBEsol
Structure: relaxed

E_tot = -33.113 eV for the cell shown
Crystal system = cubic
Calculated volume = 78 Å³/f.u.
Total moment = 0.877 μB/atom
Energy relative to the elements, uncorrected = -1.548 eV per atom

abc: 4.2756 4.2756 4.2756
angles: 90.00 90.00 90.00
Last column: nearest neighbours and their distance in Å.
Atoms (fractional coordinates):
F (0.5000, 0.0000, 0.0000)  2 Hf 2.14
F (0.0000, 0.5000, 0.0000)  2 Hf 2.14
F (0.0000, 0.0000, 0.5000)  2 Hf 2.14
Zr (0.5000, 0.5000, 0.5000)  12 F 3.02
Hf (0.0000, 0.0000, 0.0000)  6 F 2.14

=====

3.
Compound: HgF2
Source: Alexandria
Functional: PBEsol
Structure: relaxed

E_tot = -8.661 eV for the cell shown
Crystal system = cubic
Calculated volume = 43 Å³/f.u.
Total moment = 0.001 μB/atom
Energy relative to the elements, uncorrected = -1.413 eV per atom

abc: 3.9178 3.9178 3.9178
angles: 60.00 60.00 60.00
Last column: nearest neighbours and their distance in Å.
Atoms (fractional coordinates):
Hg (0.0000, 0.0000, 0.0000)  8 F 2.40
F (0.2500, 0.2500, 0.2500)  4 Hg 2.40
F (0.7500, 0.7500, 0.7500)  4 Hg 2.40

=====

4.
Compound: HgF2
Source: Alexandria
Functional: PBEsol
Structure: relaxed

E_tot = -17.119 eV for the cell shown
Crystal system = tetragonal
Calculated volume = 50 Å³/f.u.
Total moment = 0.000 μB/atom
Energy relative to the elements, uncorrected = -1.379 eV per atom

abc: 3.7427 5.1570 5.1570
angles: 90.00 90.00 90.00
Last column: nearest neighbours and their distance in Å.
Atoms (fractional coordinates):
Hg (0.0000, 0.0000, 0.0000)  6 F 2.23-2.35
Hg (0.5000, 0.5000, 0.5000)  6 F 2.23-2.35
F (0.0000, 0.3053, 0.3053)  3 Hg 2.23-2.35
F (0.0000, 0.6947, 0.6947)  3 Hg 2.23-2.35
F (0.5000, 0.8053, 0.1947)  3 Hg 2.23-2.35
F (0.5000, 0.1947, 0.8053)  3 Hg 2.23-2.35

=====

5.
Compound: HgF
Source: Alexandria
Functional: PBEsol
Structure: relaxed

E_tot = -9.698 eV for the cell shown
Crystal system = tetragonal
Calculated volume = 36 Å³/f.u.
Total moment = 0.000 μB/atom
Energy relative to the elements, uncorrected = -1.177 eV per atom

abc: 3.6409 3.6409 6.0640
angles: 107.47 107.47 90.00
Last column: nearest neighbours and their distance in Å.
Atoms (fractional coordinates):
Hg (0.8842, 0.8842, 0.7685)  1 F 2.16
Hg (0.1158, 0.1158, 0.2315)  1 F 2.16
F (0.3125, 0.3125, 0.6250)  1 Hg 2.16
F (0.6875, 0.6875, 0.3750)  1 Hg 2.16

=====

6.
Compound: HgF2
Source: Alexandria
Functional: PBEsol
Structure: relaxed

E_tot = -34.397 eV for the cell shown
Crystal system = orthorhombic
Calculated volume = 39 Å³/f.u.
Total moment = 0.000 μB/atom
Energy relative to the elements, uncorrected = -1.392 eV per atom

abc: 3.6739 5.9250 7.1802
angles: 90.00 90.00 90.00
Last column: nearest neighbours and their distance in Å.
Atoms (fractional coordinates):
Hg (0.2500, 0.7575, 0.1071)  7 F 2.32-2.41
Hg (0.2500, 0.2575, 0.3929)  7 F 2.32-2.41
Hg (0.7500, 0.7425, 0.6071)  7 F 2.32-2.41
Hg (0.7500, 0.2425, 0.8929)  7 F 2.32-2.41
F (0.2500, 0.9874, 0.8367)  3 Hg 2.37-2.41
F (0.7500, 0.1397, 0.5814)  4 Hg 2.32-2.39
F (0.7500, 0.5126, 0.3367)  3 Hg 2.37-2.41
F (0.2500, 0.8603, 0.4186)  4 Hg 2.32-2.39
F (0.7500, 0.6397, 0.9186)  4 Hg 2.32-2.39
F (0.2500, 0.3603, 0.0814)  4 Hg 2.32-2.39
F (0.7500, 0.0126, 0.1633)  3 Hg 2.37-2.41
F (0.2500, 0.4874, 0.6633)  3 Hg 2.37-2.41

=====

7.
Compound: Hg3F
Source: Alexandria
Functional: PBEsol
Structure: relaxed

E_tot = -5.442 eV for the cell shown
Crystal system = cubic
Calculated volume = 78 Å³/f.u.
Total moment = 0.000 μB/atom
Energy relative to the elements, uncorrected = -0.454 eV per atom

abc: 4.2753 4.2753 4.2753
angles: 90.00 90.00 90.00
Last column: nearest neighbours and their distance in Å.
Atoms (fractional coordinates):
Hg (0.5000, 0.0000, 0.5000)  8 Hg 3.02, 4 F 3.02
Hg (0.5000, 0.5000, 0.0000)  4 F 3.02, 8 Hg 3.02
Hg (0.0000, 0.5000, 0.5000)  8 Hg 3.02, 4 F 3.02
F (0.0000, 0.0000, 0.0000)  12 Hg 3.02

=====

8.
Compound: HgIN2F
Source: Alexandria
Functional: PBEsol
Structure: relaxed

E_tot = -13.046 eV for the cell shown
Crystal system = tetragonal
Calculated volume = 111 Å³/f.u.
Total moment = 1.062 μB/atom
Energy relative to the elements, uncorrected = 1.654 eV per atom

abc: 4.2163 4.2163 6.2702
angles: 90.00 90.00 90.00
Last column: nearest neighbours and their distance in Å.
Atoms (fractional coordinates):
I (0.0000, 0.0000, 0.5000)  4 F 2.98, 2 Hg 3.14
N (0.0000, 0.5000, 0.0000)  2 Hg 2.11
N (0.5000, 0.0000, 0.0000)  2 Hg 2.11
Hg (0.0000, 0.0000, 0.0000)  4 N 2.11
F (0.5000, 0.5000, 0.5000)  4 I 2.98

=====

9.
Compound: TaHgI2F
Source: Alexandria
Functional: PBEsol
Structure: relaxed

E_tot = -21.103 eV for the cell shown
Crystal system = tetragonal
Calculated volume = 130 Å³/f.u.
Total moment = 0.309 μB/atom
Energy relative to the elements, uncorrected = -0.505 eV per atom

abc: 4.1183 5.6181 5.6181
angles: 90.00 90.00 90.00
Last column: nearest neighbours and their distance in Å.
Atoms (fractional coordinates):
I (0.0000, 0.5000, 0.0000)  2 Ta 2.81
I (0.0000, 0.0000, 0.5000)  2 Ta 2.81
Ta (0.0000, 0.0000, 0.0000)  2 F 2.06
F (0.5000, 0.0000, 0.0000)  2 Ta 2.06
Hg (0.5000, 0.5000, 0.5000)  8 I 3.48

=====

10.
Compound: HgTe2IF
Source: Alexandria
Functional: PBEsol
Structure: relaxed

E_tot = -9.000 eV for the cell shown
Crystal system = tetragonal
Calculated volume = 176 Å³/f.u.
Total moment = 0.438 μB/atom
Energy relative to the elements, uncorrected = 0.463 eV per atom

abc: 5.5718 5.5718 5.6835
angles: 90.00 90.00 90.00
Last column: nearest neighbours and their distance in Å.
Atoms (fractional coordinates):
Hg (0.0000, 0.0000, 0.0000)  4 Te 2.79, 2 I 2.84
Te (0.0000, 0.5000, 0.0000)  2 Hg 2.79
Te (0.5000, 0.0000, 0.0000)  2 Hg 2.79
I (0.0000, 0.0000, 0.5000)  2 Hg 2.84
F (0.5000, 0.5000, 0.5000)  4 I 3.94, 8 Te 3.98

=====

11.
Compound: In2HgF2
Source: Alexandria
Functional: PBEsol
Structure: relaxed

E_tot = -17.021 eV for the cell shown
Crystal system = tetragonal
Calculated volume = 98 Å³/f.u.
Total moment = 0.000 μB/atom
Energy relative to the elements, uncorrected = -1.327 eV per atom

abc: 3.8303 3.8303 7.2014
angles: 105.42 105.42 90.00
Last column: nearest neighbours and their distance in Å.
Atoms (fractional coordinates):
In (0.3604, 0.3604, 0.7208)  4 F 2.42
In (0.6396, 0.6396, 0.2792)  4 F 2.42
Hg (0.0000, 0.0000, 0.0000)  8 In 3.29
F (0.7500, 0.2500, 0.5000)  4 In 2.42
F (0.2500, 0.7500, 0.5000)  4 In 2.42

=====

12.
Compound: In2Hg2F
Source: Alexandria
Functional: PBEsol
Structure: relaxed

E_tot = -23.862 eV for the cell shown
Crystal system = tetragonal
Calculated volume = 114 Å³/f.u.
Total moment = 0.000 μB/atom
Energy relative to the elements, uncorrected = -0.581 eV per atom

abc: 4.9954 6.7555 6.7555
angles: 90.00 90.00 90.00
Last column: nearest neighbours and their distance in Å.
Atoms (fractional coordinates):
Hg (0.5000, 0.3387, 0.1613)  2 In 2.97, 1 Hg 3.08
Hg (0.5000, 0.1613, 0.6613)  2 In 2.97, 1 Hg 3.08
Hg (0.5000, 0.8387, 0.3387)  2 In 2.97, 1 Hg 3.08
Hg (0.5000, 0.6613, 0.8387)  2 In 2.97, 1 Hg 3.08
In (0.0000, 0.3290, 0.8290)  2 F 2.50
In (0.0000, 0.1710, 0.3290)  2 F 2.50
In (0.0000, 0.8290, 0.6710)  2 F 2.50
In (0.0000, 0.6710, 0.1710)  2 F 2.50
F (0.0000, 0.0000, 0.0000)  4 In 2.50
F (0.0000, 0.5000, 0.5000)  4 In 2.50